Record 1
## Li2NpSbO8 (PBE-GGA)

Data for an optimized crystal structure of Li2NpSbO8.

Cell: 6.4002 6.4002 7.2499 Å, 90.00 90.00 90.00°
Last column: nearest neighbours and their distance in Å.
Space group I-4m2 (No. 119)
Inequivalent atoms, fractional coordinates:
Li 0.0000 0.0000 0.0000 x2  4 O 1.99
Li 0.0000 0.5000 0.2500 x2  4 O 1.93
Np 0.0000 0.5000 0.7500 x2  4 O 1.92
Sb 0.0000 0.0000 0.5000 x2  4 O 1.96
O 0.0000 0.2033 0.7923 x8  1 Np 1.92, 1 Li 1.99
O 0.0000 0.3000 0.4492 x8  1 Li 1.93, 1 Sb 1.96

Values from the calculation:
The value obtained for the density of states at the Fermi level is 8.23 states/eV/f.u.

***

Record 2
## Li2NpSbO6 (PBE-GGA)

Data for an optimized crystal structure of Li2NpSbO6.

Cell: 5.3749 5.6438 9.5269 Å, 90.00 124.28 90.00°
Last column: nearest neighbours and their distance in Å.
Space group P2_1/c (No. 14)
Inequivalent atoms, fractional coordinates:
Li 0.2486 0.0085 0.2521 x4  3 O 2.01-2.04
Np 0.5000 0.0000 0.0000 x2  6 O 2.11-2.16
Sb 0.0000 0.0000 0.5000 x2  6 O 2.02-2.03
O 0.1161 0.5438 0.2408 x4  1 Li 2.01, 1 Sb 2.02, 1 Np 2.16
O 0.2344 0.1945 0.0641 x4  1 Sb 2.02, 1 Li 2.04, 1 Np 2.14
O 0.3740 0.6814 0.0607 x4  1 Sb 2.03, 1 Li 2.04, 1 Np 2.11

Values from the calculation:
The value obtained for the density of states at the Fermi level is 4.98 states/eV/f.u.

***

Record 3
## LiNpSb2O8 (PBE-GGA)

Data for an optimized crystal structure of LiNpSb2O8.

Cell: 6.8666 7.2966 6.2100 Å, 90.00 90.00 90.00°
Last column: nearest neighbours and their distance in Å.
Space group Cmmm (No. 65)
Inequivalent atoms, fractional coordinates:
Li 0.0000 0.0000 0.0000 x2  6 O 2.14-2.32
Np 0.0000 0.0000 0.5000 x2  4 O 2.06
Sb 0.0000 0.5000 0.2427 x4  6 O 2.01-2.07
O 0.0000 0.3177 0.0000 x4  2 Sb 2.01
O 0.0000 0.3191 0.5000 x4  2 Sb 2.07
O 0.2059 0.0000 0.2589 x8  1 Sb 2.02, 1 Np 2.06, 1 Li 2.14

Values from the calculation:
The value obtained for the density of states at the Fermi level is 4.29 states/eV/f.u.

***

Record 4
## LiNpSbO6 (PBE-GGA)

Data for an optimized crystal structure of LiNpSbO6.

Cell: 5.4306 5.4306 9.5520 Å, 90.00 90.00 120.00°
Last column: nearest neighbours and their distance in Å.
Space group P-31c (No. 163)
Inequivalent atoms, fractional coordinates:
Li 0.0000 0.0000 0.0000 x2  6 O 2.33
Np 0.3333 0.6667 0.2500 x2  6 O 2.10
Sb 0.3333 0.6667 0.7500 x2  6 O 2.03
O 0.0101 0.3611 0.6362 x12  1 Sb 2.03, 1 Np 2.10

Values from the calculation:
The value obtained for the density of states at the Fermi level is 0.29 states/eV/f.u.

***

Record 5
## LiNpSc2O6 (PBE-GGA)

Data for an optimized crystal structure of LiNpSc2O6.

Cell: 5.5048 5.5048 14.5357 Å, 90.00 90.00 120.00°
Last column: nearest neighbours and their distance in Å.
Space group R3 (No. 146, hexagonal axes)
Inequivalent atoms, fractional coordinates:
Li 0.0000 0.0000 0.0000 x3  6 O 2.24-2.38
Np 0.0000 0.0000 0.4902 x3  6 O 2.14-2.16
Sc 0.0000 0.0000 0.2808 x3  6 O 2.07-2.26
Sc 0.0000 0.0000 0.7875 x3  6 O 2.08-2.21
O 0.0132 0.3137 0.8849 x9  2 Sc 2.07-2.21, 1 Np 2.16
O 0.0269 0.7260 0.3911 x9  2 Sc 2.08-2.26, 1 Np 2.14, 1 Li 2.24

Values from the calculation:
The value obtained for the density of states at the Fermi level is 7.98 states/eV/f.u.

***

Record 6
## Li2NpScO6 (PBE-GGA)

Data for an optimized crystal structure of Li2NpScO6.

Cell: 5.3167 5.3167 14.3554 Å, 90.00 90.00 120.00°
Last column: nearest neighbours and their distance in Å.
Space group R3 (No. 146, hexagonal axes)
Inequivalent atoms, fractional coordinates:
Li 0.0000 0.0000 0.0000 x3  3 O 2.04
Li 0.0000 0.0000 0.4889 x3  3 O 2.05
Np 0.0000 0.0000 0.7825 x3  6 O 2.03
Sc 0.0000 0.0000 0.2787 x3  6 O 2.10-2.15
O 0.0045 0.3703 0.0398 x9  1 Np 2.03, 1 Li 2.04, 1 Sc 2.15
O 0.0202 0.7078 0.8683 x9  1 Np 2.03, 1 Li 2.05, 1 Sc 2.10

***

Record 7
## Li2NpSeO6 (PBE-GGA)

Data for an optimized crystal structure of Li2NpSeO6.

Cell: 10.0839 5.5724 5.0774 Å, 90.00 113.70 90.00°
Last column: nearest neighbours and their distance in Å.
Space group C2/m (No. 12)
Inequivalent atoms, fractional coordinates:
Li 0.2418 0.0000 0.1394 x4  5 O 1.98-2.20
Np 0.0000 0.0000 0.5000 x2  2 O 1.85
Se 0.0000 0.5000 0.0000 x2  4 O 1.99
O 0.0931 0.2594 0.8394 x8  1 Se 1.99, 2 Li 2.11-2.20, 1 Np 2.15
O 0.1720 0.0000 0.4520 x4  1 Np 1.85, 1 Li 1.98

Values from the calculation:
The value obtained for the density of states at the Fermi level is 3.10 states/eV/f.u.

***

Record 8
## LiNpSeO2 (PBE-GGA)

Data for an optimized crystal structure of LiNpSeO2.

Cell: 3.7562 3.7562 12.0266 Å, 90.00 90.00 90.00°
Last column: nearest neighbours and their distance in Å.
Space group I4mm (No. 107)
Inequivalent atoms, fractional coordinates:
Li 0.0000 0.0000 0.0000 x2  4 O 2.04
Np 0.0000 0.0000 0.6493 x2  4 O 2.13
Se 0.0000 0.0000 0.2850 x2  4 Np 3.12, 4 O 3.24, 1 Li 3.43
O 0.0000 0.5000 0.0653 x4  2 Li 2.04, 2 Np 2.13

Values from the calculation:
The value obtained for the density of states at the Fermi level is 7.89 states/eV/f.u.

***

Record 9
## LiNpSeO (PBE-GGA)

Data for an optimized crystal structure of LiNpSeO.

Cell: 3.9486 3.9486 8.9364 Å, 90.00 90.00 90.00°
Last column: nearest neighbours and their distance in Å.
Space group P4/nmm (No. 129, origin choice 2)
Inequivalent atoms, fractional coordinates:
Li 0.2500 0.7500 0.0000 x2  4 Se 2.55, 4 Li 2.79
Np 0.2500 0.2500 0.3659 x2  4 O 2.31
Se 0.2500 0.2500 0.8195 x2  4 Li 2.55
O 0.2500 0.7500 0.5000 x2  4 Np 2.31

Values from the calculation:
The value obtained for the density of states at the Fermi level is 6.29 states/eV/f.u.

***

Record 10
## LiNpSeO6 (PBE-GGA)

Data for an optimized crystal structure of LiNpSeO6.

Cell: 5.4241 5.4241 9.3663 Å, 90.00 90.00 120.00°
Last column: nearest neighbours and their distance in Å.
Space group P-31c (No. 163)
Inequivalent atoms, fractional coordinates:
Li 0.0000 0.0000 0.0000 x2  6 O 2.33
Np 0.3333 0.6667 0.2500 x2  6 O 2.04
Se 0.3333 0.6667 0.7500 x2  6 O 2.03
O 0.0011 0.3588 0.6381 x12  1 Se 2.03, 1 Np 2.04

***

Record 11
## Li2NpSeO8 (PBE-GGA)

Data for an optimized crystal structure of Li2NpSeO8.

Cell: 6.2746 6.2746 7.7870 Å, 90.00 90.00 90.00°
Last column: nearest neighbours and their distance in Å.
Space group I-4m2 (No. 119)
Inequivalent atoms, fractional coordinates:
Li 0.0000 0.0000 0.0000 x2  4 O 2.06
Li 0.0000 0.5000 0.2500 x2  4 O 2.01
Np 0.0000 0.0000 0.5000 x2  4 O 1.87
Se 0.0000 0.5000 0.7500 x2  4 O 1.71
O 0.0000 0.2420 0.8213 x8  1 Se 1.71
O 0.0000 0.2898 0.4444 x8  1 Np 1.87, 1 Li 2.01

Values from the calculation:
The value obtained for the density of states at the Fermi level is 7.82 states/eV/f.u.

***

Record 12
## LiNpSiO6 (PBE-GGA)

Data for an optimized crystal structure of LiNpSiO6.

Cell: 5.1076 5.1076 9.2859 Å, 90.00 90.00 120.00°
Last column: nearest neighbours and their distance in Å.
Space group P-31c (No. 163)
Inequivalent atoms, fractional coordinates:
Li 0.0000 0.0000 0.0000 x2  6 O 2.27
Np 0.3333 0.6667 0.2500 x2  6 O 2.04
Si 0.3333 0.6667 0.7500 x2  6 O 1.81
O 0.0338 0.3782 0.6418 x12  1 Si 1.81

***

Record 13
## LiNp2SiO8 (PBE-GGA)

Data for an optimized crystal structure of LiNp2SiO8.

Cell: 6.4840 6.4923 6.7648 Å, 90.00 90.00 90.00°
Last column: nearest neighbours and their distance in Å.
Space group Cmmm (No. 65)
Inequivalent atoms, fractional coordinates:
Li 0.0000 0.0000 0.0000 x2  2 O 1.99
Np 0.0000 0.5000 0.2536 x4  6 O 2.04-2.20
Si 0.0000 0.0000 0.5000 x2  6 O 1.80-1.83
O 0.0000 0.1890 0.2986 x8  1 Si 1.83, 1 Np 2.04
O 0.1928 0.5000 0.0000 x4  1 Li 1.99, 2 Np 2.12
O 0.2219 0.5000 0.5000 x4  1 Si 1.80

Values from the calculation:
The value obtained for the density of states at the Fermi level is 7.22 states/eV/f.u.

***

Record 14
## LiSmNp2O8 (PBE-GGA)

Data for an optimized crystal structure of LiSmNp2O8.

Cell: 5.3245 5.3245 10.3619 Å, 90.00 90.00 90.00°
Last column: nearest neighbours and their distance in Å.
Space group I-4m2 (No. 119)
Inequivalent atoms, fractional coordinates:
Li 0.0000 0.0000 0.0000 x2  8 O 2.36
Sm 0.0000 0.5000 0.7500 x2  8 O 2.37
Np 0.0000 0.0000 0.5000 x2  8 O 2.21
Np 0.0000 0.5000 0.2500 x2  8 O 2.21
O 0.2253 0.2506 0.3754 x16  2 Np 2.21, 1 Li 2.36, 1 Sm 2.37, 1 O 2.40

Values from the calculation:
The value obtained for the density of states at the Fermi level is 10.22 states/eV/f.u.

***

Record 15
## Li2SmNpO6 (PBE-GGA)

Data for an optimized crystal structure of Li2SmNpO6.

Cell: 5.4985 5.9828 9.8983 Å, 90.00 123.72 90.00°
Last column: nearest neighbours and their distance in Å.
Space group P2_1/c (No. 14)
Inequivalent atoms, fractional coordinates:
Li 0.2410 0.0673 0.2505 x4  3 O 1.95-1.97
Sm 0.5000 0.0000 0.0000 x2  6 O 2.33-2.35
Np 0.0000 0.0000 0.5000 x2  6 O 2.02-2.05
O 0.0919 0.5182 0.2303 x4  1 Li 1.96, 1 Np 2.05
O 0.2148 0.2050 0.0620 x4  1 Li 1.97, 1 Np 2.02
O 0.3731 0.6671 0.0713 x4  1 Li 1.95, 1 Np 2.02

***

Record 16
## Sr2Li3NpO6 (PBE-GGA)

Data for an optimized crystal structure of Sr2Li3NpO6.

Cell: 5.9314 11.1274 5.4098 Å, 90.00 107.70 90.00°
Last column: nearest neighbours and their distance in Å.
Space group C2/m (No. 12)
Inequivalent atoms, fractional coordinates:
Sr 0.0000 0.1711 0.0000 x4  6 O 2.51-2.58
Li 0.0000 0.0000 0.5000 x2  6 O 2.39-2.44
Li 0.0000 0.3869 0.5000 x4  4 O 2.07-2.14
Np 0.0000 0.5000 0.0000 x2  6 O 2.14-2.19
O 0.2038 0.3615 0.2394 x8  1 Np 2.14, 1 Li 2.14
O 0.2365 0.5000 0.7574 x4  2 Li 2.07, 1 Np 2.19

Values from the calculation:
The value obtained for the density of states at the Fermi level is 7.73 states/eV/f.u.

***

Record 17
## SrLi2NpO6 (PBE-GGA)

Data for an optimized crystal structure of SrLi2NpO6.

Cell: 11.8234 9.0869 6.5405 Å, 90.00 117.66 90.00°
Last column: nearest neighbours and their distance in Å.
Space group C2/c (No. 15)
Inequivalent atoms, fractional coordinates:
Sr 0.0000 0.1140 0.2500 x4  6 O 2.42-2.62
Li 0.2129 0.4382 0.1376 x8  4 O 1.90-2.05
Np 0.0000 0.2836 0.7500 x4  6 O 1.98-2.07
O 0.1019 0.2754 0.0903 x8  1 Li 1.90, 1 Np 1.98
O 0.1041 0.1171 0.7017 x8  1 Li 1.98, 1 Np 2.07
O 0.1275 0.4358 0.7832 x8  1 Np 1.98, 2 Li 2.03-2.05

Values from the calculation:
The value obtained for the density of states at the Fermi level is 6.37 states/eV/f.u.

***

Record 18
## Sr2Li2NpO6 (PBE-GGA)

Data for an optimized crystal structure of Sr2Li2NpO6.

Cell: 5.8910 5.8910 15.8169 Å, 90.00 90.00 120.00°
Last column: nearest neighbours and their distance in Å.
Space group R-3m (No. 166, hexagonal axes)
Inequivalent atoms, fractional coordinates:
Sr 0.0000 0.0000 0.2157 x6  3 O 2.63
Li 0.0000 0.0000 0.4241 x6  3 O 1.81
Np 0.0000 0.0000 0.0000 x3  6 O 2.07
O 0.0208 0.5104 0.7502 x18  1 Li 1.81

***

Record 19
## Sr2LiNpO6 (PBE-GGA)

Data for an optimized crystal structure of Sr2LiNpO6.

Cell: 5.8507 5.9388 10.0402 Å, 90.00 125.24 90.00°
Last column: nearest neighbours and their distance in Å.
Space group P2_1/c (No. 14)
Inequivalent atoms, fractional coordinates:
Sr 0.2380 0.0445 0.2473 x4  6 O 2.53-2.81
Li 0.0000 0.0000 0.5000 x2  6 O 2.21-2.27
Np 0.5000 0.0000 0.0000 x2  6 O 2.02-2.03
O 0.1816 0.1951 0.9602 x4  1 Np 2.03, 1 Li 2.25
O 0.2596 0.7239 0.9525 x4  1 Np 2.03, 1 Li 2.27
O 0.3449 0.0267 0.7611 x4  1 Np 2.02, 1 Li 2.21

***

Number 1: mass density 5.6 Mg/m³, total energy -6.6200 eV per atom. Number 2: mass density 6.5 Mg/m³, total energy -7.2171 eV per atom. Number 3: mass density 6.6 Mg/m³, total energy -7.1502 eV per atom. Number 4: mass density 6.3 Mg/m³, total energy -7.3950 eV per atom. Number 5: mass density 5.6 Mg/m³, total energy -8.7480 eV per atom. Number 6: mass density 5.6 Mg/m³, total energy -7.9536 eV per atom. Number 7: mass density 5.4 Mg/m³, total energy -6.8539 eV per atom. Number 8: mass density 6.9 Mg/m³, total energy -7.7342 eV per atom. Number 9: mass density 8.1 Mg/m³, total energy -7.7454 eV per atom. Number 10: mass density 5.8 Mg/m³, total energy -7.0354 eV per atom. Number 11: mass density 5.0 Mg/m³, total energy -6.4061 eV per atom. Number 12: mass density 5.8 Mg/m³, total energy -7.8987 eV per atom. Number 13: mass density 7.4 Mg/m³, total energy -8.6543 eV per atom. Number 14: mass density 8.6 Mg/m³, total energy -8.7491 eV per atom. Number 15: mass density 6.1 Mg/m³, total energy -7.7680 eV per atom. Number 16: mass density 5.2 Mg/m³, total energy -6.8059 eV per atom. Number 17: mass density 4.6 Mg/m³, total energy -7.1063 eV per atom. Number 18: mass density 5.5 Mg/m³, total energy -7.1232 eV per atom. Number 19: mass density 6.0 Mg/m³, total energy -7.5427 eV per atom.